Entry 1:
The following is a GGA-PBE calculation of a relaxed structure of Mg5GeAu2, from Alexandria via LeMat-Bulk.

Values from the calculation:
Total moment: 0.00 μB per formula unit
Final energy: -2.788 eV/atom
ρ: 6.195 g cm⁻³
Space group: Pbam
ΔE_f: -0.39 eV per atom

a = 6.356 Å, b = 11.273 Å, c = 4.400 Å
α = 90.00°, β = 90.00°, γ = 90.00°
Positions (direct):
Mg 0.000 0.000 0.000
Mg 0.144 0.273 0.000
Mg 0.171 0.600 0.500
Mg 0.329 0.100 0.500
Mg 0.356 0.773 0.000
Mg 0.500 0.500 0.000
Mg 0.644 0.227 0.000
Mg 0.671 0.900 0.500
Mg 0.829 0.400 0.500
Mg 0.856 0.727 0.000
Ge 0.000 0.500 0.000
Ge 0.500 0.000 0.000
Au 0.088 0.843 0.500
Au 0.412 0.343 0.500
Au 0.588 0.657 0.500
Au 0.912 0.157 0.500

***

Entry 2:
The following is a GGA-PBE calculation of a relaxed structure of MgGeAu3, from Alexandria via LeMat-Bulk.

Values from the calculation:
Total moment: 0.00 μB per formula unit
Final energy: -3.048 eV/atom
ρ: 9.786 g cm⁻³
Space group: Pm-3m
ΔE to the lowest computed polymorph: 406.2 meV per atom
ΔE_f: 0.16 eV per atom

a = 4.887 Å, b = 4.887 Å, c = 4.887 Å
α = 90.00°, β = 90.00°, γ = 90.00°
Positions (direct):
Mg 0.000 0.000 0.000
Ge 0.500 0.500 0.500
Au 0.000 0.500 0.500
Au 0.500 0.000 0.500
Au 0.500 0.500 0.000

***

Entry 3:
The following is a GGA-PBE calculation of a relaxed structure of MgGe2Au, from Alexandria via LeMat-Bulk.

Values from the calculation:
Total moment: 0.00 μB per formula unit
Final energy: -3.358 eV/atom
ρ: 7.215 g cm⁻³
Space group: R-3m
ΔE_f: 0.17 eV per atom

a = 9.961 Å, b = 9.961 Å, c = 9.961 Å
α = 18.22°, β = 18.22°, γ = 18.22°
Positions (direct):
Mg 0.000 0.000 0.000
Ge 0.096 0.096 0.096
Ge 0.904 0.904 0.904
Au 0.500 0.500 0.500

***

Entry 4:
The following is a GGA-PBE calculation of a relaxed structure of Mg3GeAu4, from Alexandria via LeMat-Bulk.

Values from the calculation:
Total moment: 0.00 μB per formula unit
Final energy: -3.246 eV/atom
ρ: 10.629 g cm⁻³
Space group: R-3m
ΔE_f: -0.43 eV per atom

a = 8.186 Å, b = 8.186 Å, c = 8.186 Å
α = 33.13°, β = 33.13°, γ = 33.13°
Positions (direct):
Mg 0.000 0.000 0.000
Mg 0.248 0.248 0.248
Mg 0.752 0.752 0.752
Ge 0.500 0.500 0.500
Au 0.122 0.122 0.122
Au 0.370 0.370 0.370
Au 0.630 0.630 0.630
Au 0.878 0.878 0.878

***

Entry 5:
The following is a GGA-PBE calculation of a relaxed structure of Mg2GeAu, from Alexandria via LeMat-Bulk.

Values from the calculation:
Total moment: 0.00 μB per formula unit
Final energy: -2.860 eV/atom
ρ: 6.340 g cm⁻³
Space group: I-42d
ΔE_f: -0.09 eV per atom

a = 6.066 Å, b = 6.066 Å, c = 6.066 Å
α = 104.12°, β = 104.12°, γ = 120.79°
Positions (direct):
Mg 0.120 0.125 0.495
Mg 0.375 0.880 0.005
Mg 0.630 0.625 0.505
Mg 0.875 0.370 0.995
Ge 0.250 0.750 0.500
Ge 0.500 0.500 0.000
Au 0.000 0.000 0.000
Au 0.750 0.250 0.500

***

Entry 6:
The following is a GGA-PBE calculation of a relaxed structure of NaMgGeAu, from Alexandria via LeMat-Bulk.

Values from the calculation:
Total moment: 0.00 μB per formula unit
Final energy: -2.887 eV/atom
ρ: 6.992 g cm⁻³
Space group: F-43m
ΔE_f: -0.19 eV per atom

a = 4.739 Å, b = 4.739 Å, c = 4.739 Å
α = 60.00°, β = 60.00°, γ = 60.00°
Positions (direct):
Na 0.000 0.000 0.000
Mg 0.250 0.250 0.250
Ge 0.750 0.750 0.750
Au 0.500 0.500 0.500